Here is a relaxed Li3Co2O2F3 crystal from Alexandria. Energies are from GGA+U.

DFT total energy ... -0.3811 Ry/atom
Crystal system ... tetragonal

abc: 2.961 2.961 20.788
angles: 90.00 90.00 90.00
Space group I4/mmm (No. 139)
Asymmetric unit:
Li (0.000, 0.000, 0.000) [2 per cell]
Li (0.000, 0.000, 0.403) [4 per cell]
Co (0.000, 0.000, 0.207) [4 per cell]
O (0.000, 0.000, 0.305) [4 per cell]
F (0.000, 0.000, 0.096) [4 per cell]
F (0.000, 0.000, 0.500) [2 per cell]